# AcSiRu2C | Alexandria | PBE-GGA | relaxed
# Fermi-level density of states: 3.24 states/eV/f.u.
# Energy: -7.891 eV/atom
# Density: 9.13 g/cm³
# Calculated volume: 17.1 Å³ per atom
data_AcSiRu2C
_chemical_formula_sum 'Ac4 Si4 Ru8 C4'
_symmetry_space_group_name_H-M 'C m c m'
_symmetry_Int_Tables_number 63
_symmetry_space_group_name_Hall '-C 2c 2'
_cell_length_a 4.141
_cell_length_b 11.291
_cell_length_c 7.297
_cell_angle_alpha 90.00
_cell_angle_beta 90.00
_cell_angle_gamma 90.00
loop_
_atom_site_label
_atom_site_type_symbol
_atom_site_fract_x
_atom_site_fract_y
_atom_site_fract_z
Ac1 Ac 0.000 0.054 0.250
Si1 Si 0.000 0.226 0.750
Ru1 Ru 0.000 0.336 0.059
C1 C 0.000 0.500 0.000


# Ac2Zn2Ru2C | Alexandria | PBE-GGA | relaxed
# Fermi-level density of states: 3.65 states/eV/f.u.
# Energy: -5.715 eV/atom
# Density: 8.99 g/cm³
# ΔE_f: -0.210 eV per atom
# Calculated volume: 21.1 Å³ per atom
data_Ac2Zn2Ru2C
_chemical_formula_sum 'Ac4 Zn4 Ru4 C2'
_symmetry_space_group_name_H-M 'C 1 2/m 1'
_symmetry_Int_Tables_number 12
_symmetry_space_group_name_Hall '-C 2y'
_cell_length_a 10.947
_cell_length_b 4.579
_cell_length_c 7.709
_cell_angle_alpha 90.00
_cell_angle_beta 130.18
_cell_angle_gamma 90.00
loop_
_atom_site_label
_atom_site_type_symbol
_atom_site_fract_x
_atom_site_fract_y
_atom_site_fract_z
Ac1 Ac 0.056 0.000 0.320
Zn1 Zn 0.160 0.500 0.102
Ru1 Ru 0.196 0.500 0.795
C1 C 0.000 0.500 0.500


# Ac2ZnRuC | Alexandria | PBE-GGA | relaxed
# Fermi-level density of states: 2.94 states/eV/f.u.
# Energy: -5.693 eV/atom
# Density: 8.31 g/cm³
# ΔE_f: -0.095 eV per atom
# Calculated volume: 25.3 Å³ per atom
data_Ac2ZnRuC
_chemical_formula_sum 'Ac4 Zn2 Ru2 C2'
_symmetry_space_group_name_H-M 'P 1 21/m 1'
_symmetry_Int_Tables_number 11
_symmetry_space_group_name_Hall '-P 2yb'
_cell_length_a 6.844
_cell_length_b 4.450
_cell_length_c 8.894
_cell_angle_alpha 90.00
_cell_angle_beta 111.00
_cell_angle_gamma 90.00
loop_
_atom_site_label
_atom_site_type_symbol
_atom_site_fract_x
_atom_site_fract_y
_atom_site_fract_z
Ac1 Ac 0.216 0.250 0.386
Ac2 Ac 0.226 0.250 0.968
Zn1 Zn 0.324 0.750 0.701
Ru1 Ru 0.488 0.750 0.256
C1 C 0.195 0.750 0.177


- What is the formula in the first record?
  AcSiRu2C


Repeat the second record exactly.
# Ac2Zn2Ru2C | Alexandria | PBE-GGA | relaxed
# Fermi-level density of states: 3.65 states/eV/f.u.
# Energy: -5.715 eV/atom
# Density: 8.99 g/cm³
# ΔE_f: -0.210 eV per atom
# Calculated volume: 21.1 Å³ per atom
data_Ac2Zn2Ru2C
_chemical_formula_sum 'Ac4 Zn4 Ru4 C2'
_symmetry_space_group_name_H-M 'C 1 2/m 1'
_symmetry_Int_Tables_number 12
_symmetry_space_group_name_Hall '-C 2y'
_cell_length_a 10.947
_cell_length_b 4.579
_cell_length_c 7.709
_cell_angle_alpha 90.00
_cell_angle_beta 130.18
_cell_angle_gamma 90.00
loop_
_atom_site_label
_atom_site_type_symbol
_atom_site_fract_x
_atom_site_fract_y
_atom_site_fract_z
Ac1 Ac 0.056 0.000 0.320
Zn1 Zn 0.160 0.500 0.102
Ru1 Ru 0.196 0.500 0.795
C1 C 0.000 0.500 0.500


Please write out number 3 again, unchanged.
# Ac2ZnRuC | Alexandria | PBE-GGA | relaxed
# Fermi-level density of states: 2.94 states/eV/f.u.
# Energy: -5.693 eV/atom
# Density: 8.31 g/cm³
# ΔE_f: -0.095 eV per atom
# Calculated volume: 25.3 Å³ per atom
data_Ac2ZnRuC
_chemical_formula_sum 'Ac4 Zn2 Ru2 C2'
_symmetry_space_group_name_H-M 'P 1 21/m 1'
_symmetry_Int_Tables_number 11
_symmetry_space_group_name_Hall '-P 2yb'
_cell_length_a 6.844
_cell_length_b 4.450
_cell_length_c 8.894
_cell_angle_alpha 90.00
_cell_angle_beta 111.00
_cell_angle_gamma 90.00
loop_
_atom_site_label
_atom_site_type_symbol
_atom_site_fract_x
_atom_site_fract_y
_atom_site_fract_z
Ac1 Ac 0.216 0.250 0.386
Ac2 Ac 0.226 0.250 0.968
Zn1 Zn 0.324 0.750 0.701
Ru1 Ru 0.488 0.750 0.256
C1 C 0.195 0.750 0.177


- density of number 2 (Ac2Zn2Ru2C)?
  8.99 g/cm³